Material: ReC2
Method: DFT, PBE
State: relaxed

```
ReC2
1.0
3.641 -1.902 6.419
0.698 0.131 7.587
-3.204 -0.682 -6.881
C Re
4 2
direct
0.157 0.657 0.500 C
0.343 0.843 0.500 C
0.593 0.593 0.000 C
0.407 0.407 0.000 C
0.000 0.000 0.000 Re
0.750 0.250 0.500 Re
```

- ΔH_f (0 K): 1.657 eV per atom
- Distance to the lowest polymorph of the same formula: 1217 meV/atom

---

Material: CsCuTeSe3
Method: DFT, PBE
State: relaxed

```
CsCuTeSe3
1.0
-4.135 0.228 -0.475
-1.230 -3.032 9.244
0.629 9.931 -0.697
Cu Se Cs Te
2 6 2 2
direct
0.250 0.071 0.573 Cu
0.750 0.929 0.427 Cu
0.250 0.799 0.454 Se
0.250 0.133 0.849 Se
0.250 0.523 0.837 Se
0.750 0.201 0.546 Se
0.750 0.477 0.163 Se
0.750 0.867 0.151 Se
0.250 0.209 0.251 Cs
0.750 0.791 0.749 Cs
0.250 0.672 0.154 Te
0.750 0.328 0.846 Te
```

- E_form (uncorrected): -411 meV per atom

---

Material: ScFeAs
Method: DFT, PBE
State: relaxed

```
ScFeAs
1.0
4.813 0.000 0.000
0.000 3.365 0.000
-2.406 -1.682 6.628
Fe As Sc
2 2 2
direct
0.734 0.500 0.000 Fe
0.266 0.500 0.000 Fe
0.149 0.649 0.298 As
0.851 0.351 0.702 As
0.355 0.855 0.711 Sc
0.645 0.145 0.289 Sc
```

- ΔH_f (0 K): -0.459 eV per atom